[1]
A plane-wave DFT calculation with GGA-PBE was carried out for an optimized crystal structure of YHNF2.

Lattice parameters (Å, degrees): 3.492 3.492 3.905 90.00 90.00 90.00
Positions (direct):
Y 0.000 0.000 0.000
H 0.500 0.500 0.500
N 0.500 0.500 0.000
F 0.000 0.500 0.500
F 0.500 0.000 0.500

Calculated values
Magnetization ... 0.20 μB/atom
Energy above the most stable polymorph in this dataset ... 0 meV per atom
Symmetry ... P4/mmm

[2]
A plane-wave DFT calculation with GGA-PBE was carried out for an optimized crystal structure of ZnMoAs.

Lattice parameters (Å, degrees): 5.934 5.934 5.934 90.00 90.00 90.00
Positions (direct):
Zn 0.000 0.000 0.000
Zn 0.000 0.500 0.500
Zn 0.500 0.000 0.500
Zn 0.500 0.500 0.000
Mo 0.000 0.000 0.500
Mo 0.000 0.500 0.000
Mo 0.500 0.000 0.000
Mo 0.500 0.500 0.500
As 0.250 0.250 0.750
As 0.250 0.750 0.250
As 0.750 0.250 0.250
As 0.750 0.750 0.750

Calculated values
E_form ... 0.4054 eV per atom
Magnetization ... 0.00 μB/atom
Energy above the most stable polymorph in this dataset ... 414 meV per atom
Symmetry ... F-43m